Entry from Alexandria: a relaxed BMoBr2 crystal (PBE).

Structure (POSCAR):
```
BMoBr2
1.0
-3.079 3.079 5.117
3.079 -3.079 5.117
3.079 3.079 -5.117
B Mo Br
2 2 4
Direct
0.000 0.000 0.000 B
0.750 0.250 0.500 B
0.250 0.750 0.500 Mo
0.500 0.500 0.000 Mo
0.139 0.625 0.014 Br
0.375 0.389 0.514 Br
0.611 0.125 0.986 Br
0.875 0.861 0.486 Br
```

**Energy above the most stable polymorph in this dataset**: 199 meV per atom
**ΔE_f (raw)**: 1.55 eV/atom